# Li6V3Sb3O16, relaxed, DFT GGA+U
# DFT total energy: -6.329 eV per atom
data_Li6V3Sb3O16
_chemical_formula_sum 'Li6 V3 Sb3 O16'
_cell_length_a 6.0957
_cell_length_b 6.1137
_cell_length_c 10.1151
_cell_angle_alpha 89.18
_cell_angle_beta 89.37
_cell_angle_gamma 60.22
_space_group_name_H-M_alt 'P 1'
_space_group_IT_number 1
loop_
_space_group_symop_operation_xyz
'x,y,z'
loop_
_atom_site_label
_atom_site_type_symbol
_atom_site_fract_x
_atom_site_fract_y
_atom_site_fract_z
_atom_site_occupancy
Li1 Li 0.0000 0.0000 0.0000 1
Li2 Li 0.0061 0.0068 0.3658 1
Li3 Li 0.3199 0.3263 0.8727 1
Li4 Li 0.3417 0.3506 0.5043 1
Li5 Li 0.6506 0.6753 0.8885 1
Li6 Li 0.6622 0.6509 0.3951 1
V1 V 0.3080 0.8920 0.6573 1
V2 V 0.5031 0.5014 0.1722 1
V3 V 0.7906 0.3542 0.6892 1
Sb1 Sb 0.0080 0.5019 0.1742 1
Sb2 Sb 0.5037 0.0061 0.1759 1
Sb3 Sb 0.8408 0.8361 0.6733 1
O1 O 0.0016 0.0089 0.7801 1
O2 O 0.1589 0.1657 0.5663 1
O3 O 0.1625 0.7036 0.5702 1
O4 O 0.1804 0.6455 0.0696 1
O5 O 0.1846 0.1832 0.0636 1
O6 O 0.3325 0.3308 0.2880 1
O7 O 0.3661 0.8240 0.2802 1
O8 O 0.5110 0.9742 0.7785 1
O9 O 0.5233 0.4953 0.7872 1
O10 O 0.6472 0.1787 0.0713 1
O11 O 0.6576 0.6758 0.5754 1
O12 O 0.6760 0.6774 0.0681 1
O13 O 0.6976 0.1614 0.5696 1
O14 O 0.8242 0.8188 0.2879 1
O15 O 0.8277 0.3628 0.2791 1
O16 O 0.9653 0.5163 0.7804 1